Entry 1:
Here is a relaxed Sm2GaSb3Rh4 crystal from Alexandria via LeMat-Bulk. Energies are from GGA-PBE.

a = 4.379 Å, b = 4.379 Å, c = 10.732 Å
α = 90.00°, β = 90.00°, γ = 90.00°
Fractional coordinates of all 10 atoms:
Sm 0.500 0.000 0.259
Sm 0.000 0.500 0.741
Ga 0.500 0.500 0.500
Sb 0.000 0.000 0.500
Sb 0.500 0.000 0.863
Sb 0.000 0.500 0.137
Rh 0.500 0.500 0.000
Rh 0.000 0.000 0.000
Rh 0.500 0.000 0.626
Rh 0.000 0.500 0.374

Results
- VASP energy: -6.2402 eV per atom
- Raw formation energy: -0.816 eV/atom
- Theoretical density: 9.26 g/cm3
- V: 206 Å³/cell

Entry 2:
Here is a relaxed GaTcSb2Rh crystal from Alexandria via LeMat-Bulk. Energies are from GGA-PBE.

a = 5.105 Å, b = 4.586 Å, c = 5.105 Å
α = 90.00°, β = 90.00°, γ = 90.00°
Last column: magnetic moment on the atom in μB.
Fractional coordinates of all 5 atoms:
Sb 0.000 0.000 0.500  -0.01
Sb 0.500 0.000 0.000  -0.03
Rh 0.500 0.500 0.500  0.39
Tc 0.000 0.500 0.000  1.74
Ga 0.000 0.000 0.000  -0.03

Results
- VASP energy: -4.5237 eV per atom
- Raw formation energy: 1.274 eV/atom
- Theoretical density: 7.14 g/cm3
- V: 120 Å³/cell

Entry 3:
Here is a relaxed GaSbTe2Rh crystal from Alexandria via LeMat-Bulk. Energies are from GGA-PBE.

a = 5.268 Å, b = 5.268 Å, c = 5.123 Å
α = 90.00°, β = 90.00°, γ = 90.00°
Last column: magnetic moment on the atom in μB.
Fractional coordinates of all 5 atoms:
Sb 0.000 0.000 0.500  -0.02
Te 0.000 0.500 0.000  0.01
Te 0.500 0.000 0.000  0.01
Rh 0.500 0.500 0.500  0.39
Ga 0.000 0.000 0.000  0.00

Results
- VASP energy: -3.2158 eV per atom
- ΔE to the lowest computed polymorph: 0.692 eV/atom
- Raw formation energy: 0.941 eV/atom
- Theoretical density: 6.42 g/cm3
- V: 142 Å³/cell

Entry 4:
Here is a relaxed GaSb2TeRh crystal from Alexandria via LeMat-Bulk. Energies are from GGA-PBE.

a = 5.038 Å, b = 5.038 Å, c = 5.798 Å
α = 90.00°, β = 90.00°, γ = 90.00°
Fractional coordinates of all 5 atoms:
Sb 0.000 0.500 0.000
Sb 0.500 0.000 0.000
Te 0.000 0.000 0.500
Rh 0.000 0.000 0.000
Ga 0.500 0.500 0.500

Results
- VASP energy: -4.0805 eV per atom
- ΔE to the lowest computed polymorph: 0.000 eV/atom
- Raw formation energy: 0.272 eV/atom
- Theoretical density: 6.14 g/cm3
- V: 147 Å³/cell

Entry 5:
Here is a relaxed GaSb2TeRh crystal from Alexandria via LeMat-Bulk. Energies are from GGA-PBE.

a = 5.138 Å, b = 5.138 Å, c = 5.266 Å
α = 90.00°, β = 90.00°, γ = 90.00°
Fractional coordinates of all 5 atoms:
Sb 0.000 0.500 0.000
Sb 0.500 0.000 0.000
Te 0.000 0.000 0.500
Rh 0.500 0.500 0.500
Ga 0.000 0.000 0.000

Results
- VASP energy: -3.3911 eV per atom
- ΔE to the lowest computed polymorph: 0.689 eV/atom
- Raw formation energy: 0.962 eV/atom
- Theoretical density: 6.50 g/cm3
- V: 139 Å³/cell

Entry 6:
Here is a relaxed GaSbTe2Rh crystal from Alexandria via LeMat-Bulk. Energies are from GGA-PBE.

a = 5.486 Å, b = 5.486 Å, c = 4.932 Å
α = 90.00°, β = 90.00°, γ = 90.00°
Fractional coordinates of all 5 atoms:
Sb 0.000 0.000 0.500
Te 0.000 0.500 0.000
Te 0.500 0.000 0.000
Rh 0.000 0.000 0.000
Ga 0.500 0.500 0.500

Results
- VASP energy: -3.9081 eV per atom
- ΔE to the lowest computed polymorph: 0.000 eV/atom
- Raw formation energy: 0.249 eV/atom
- Theoretical density: 6.15 g/cm3
- V: 148 Å³/cell

Entry 7:
Here is a relaxed Tm2Ga2SbRh5 crystal from Alexandria via LeMat-Bulk. Energies are from GGA-PBE.

a = 3.613 Å, b = 9.741 Å, c = 9.741 Å
α = 90.00°, β = 90.00°, γ = 90.00°
Fractional coordinates of all 20 atoms:
Tm 0.000 0.674 0.174
Tm 0.000 0.326 0.826
Tm 0.000 0.174 0.326
Tm 0.000 0.826 0.674
Ga 0.000 0.123 0.623
Ga 0.000 0.877 0.377
Ga 0.000 0.623 0.877
Ga 0.000 0.377 0.123
Sb 0.000 0.000 0.000
Sb 0.000 0.500 0.500
Rh 0.500 0.207 0.070
Rh 0.500 0.793 0.930
Rh 0.500 0.070 0.793
Rh 0.500 0.707 0.430
Rh 0.500 0.930 0.207
Rh 0.500 0.293 0.570
Rh 0.500 0.570 0.707
Rh 0.500 0.430 0.293
Rh 0.500 0.500 0.000
Rh 0.500 0.000 0.500

Results
- VASP energy: -6.4257 eV per atom
- Raw formation energy: -0.838 eV/atom
- Theoretical density: 10.79 g/cm3
- V: 343 Å³/cell

Entry 8:
Here is a relaxed ZrGa2SbRh crystal from Alexandria via LeMat-Bulk. Energies are from GGA-PBE.

a = 4.604 Å, b = 5.455 Å, c = 4.604 Å
α = 90.00°, β = 90.00°, γ = 90.00°
Fractional coordinates of all 5 atoms:
Sb 0.000 0.500 0.000
Rh 0.000 0.000 0.000
Ga 0.000 0.000 0.500
Ga 0.500 0.000 0.000
Zr 0.500 0.500 0.500

Results
- VASP energy: -5.0890 eV per atom
- Raw formation energy: 0.126 eV/atom
- Theoretical density: 6.54 g/cm3
- V: 116 Å³/cell

Please write out number 1 again, unchanged.
Here is a relaxed Sm2GaSb3Rh4 crystal from Alexandria via LeMat-Bulk. Energies are from GGA-PBE.

a = 4.379 Å, b = 4.379 Å, c = 10.732 Å
α = 90.00°, β = 90.00°, γ = 90.00°
Fractional coordinates of all 10 atoms:
Sm 0.500 0.000 0.259
Sm 0.000 0.500 0.741
Ga 0.500 0.500 0.500
Sb 0.000 0.000 0.500
Sb 0.500 0.000 0.863
Sb 0.000 0.500 0.137
Rh 0.500 0.500 0.000
Rh 0.000 0.000 0.000
Rh 0.500 0.000 0.626
Rh 0.000 0.500 0.374

Results
- VASP energy: -6.2402 eV per atom
- Raw formation energy: -0.816 eV/atom
- Theoretical density: 9.26 g/cm3
- V: 206 Å³/cell